No. 1
Ac12LaSm7 | Alexandria | PBE | optimized geometry; N(E_F) = 1.467 states/eV/atom; formation enthalpy at 0 K = 1202 kJ/mol of formula units
1.0
-6.123 6.123 6.123
6.123 -6.123 6.123
6.123 6.123 -6.123
Ac La Sm
12 1 7
Direct
0.073 0.782 0.291
0.218 0.291 0.509
0.218 0.709 0.927
0.291 0.073 0.782
0.291 0.509 0.218
0.491 0.782 0.709
0.509 0.218 0.291
0.709 0.491 0.782
0.709 0.927 0.218
0.782 0.291 0.073
0.782 0.709 0.491
0.927 0.218 0.709
0.000 0.000 0.000
0.000 0.000 0.500
0.000 0.500 0.000
0.000 0.500 0.500
0.500 0.000 0.000
0.500 0.000 0.500
0.500 0.500 0.000
0.500 0.500 0.500

***

No. 2
B2Rh2W | Alexandria | PBE | optimized geometry; N(E_F) = 0.415 states/eV/atom; formation enthalpy at 0 K = -11 kJ/mol of formula units
1.0
6.439 0.000 0.000
0.000 6.439 0.000
0.000 0.000 2.709
B Rh W
4 4 2
Direct
0.153 0.347 0.000
0.347 0.847 0.000
0.653 0.153 0.000
0.847 0.653 0.000
0.150 0.650 0.500
0.350 0.150 0.500
0.650 0.850 0.500
0.850 0.350 0.500
0.000 0.000 0.000
0.500 0.500 0.000

***

No. 3
PrSF | Alexandria | PBE | optimized geometry; total DFT energy (no corrections) = -6.106 eV/atom
1.0
-1.953 1.953 4.029
1.953 -1.953 4.029
1.953 1.953 -4.029
Pr S F
1 1 1
Direct
0.000 0.000 0.000
0.378 0.378 0.000
0.714 0.714 0.000

***

No. 4
DyVGa2 | Alexandria | PBE | optimized geometry; N(E_F) = 0.819 states/eV/atom; formation enthalpy at 0 K = -87 kJ/mol of formula units
1.0
2.169 1.252 4.976
-2.169 1.252 4.976
0.000 -2.504 4.976
Dy V Ga
1 1 2
Direct
0.000 0.000 0.000
0.500 0.500 0.500
0.217 0.217 0.217
0.783 0.783 0.783